# GGA+U CrSb2TeO, optimized geometry
data_CrSb2TeO
_cell_length_a 4.6507
_cell_length_b 4.6507
_cell_length_c 5.0793
_cell_angle_alpha 90.00
_cell_angle_beta 90.00
_cell_angle_gamma 90.00
_space_group_name_H-M_alt 'P 4/m m m'
_space_group_IT_number 123
_space_group_name_Hall '-P 4 2'
loop_
_atom_site_label
_atom_site_type_symbol
_atom_site_fract_x
_atom_site_fract_y
_atom_site_fract_z
Cr1 Cr 0.0000 0.0000 0.0000
Sb1 Sb 0.0000 0.5000 0.5000
Te1 Te 0.5000 0.5000 0.0000
O1 O 0.5000 0.5000 0.5000
# Raw total energy = -4.1511 eV/atom